# DyAlV2O8 | Alexandria | GGA+U | relaxed
data_DyAlV2O8
_cell_length_a 6.823
_cell_length_b 6.823
_cell_length_c 6.276
_cell_angle_alpha 90.00
_cell_angle_beta 90.00
_cell_angle_gamma 90.00
_symmetry_space_group_name_H-M 'I -4 m 2'
_symmetry_Int_Tables_number 119
_symmetry_space_group_name_Hall 'I -4 -2'
loop_
_atom_site_label
_atom_site_fract_x
_atom_site_fract_y
_atom_site_fract_z
Dy1 0.000 0.000 0.000
Al1 0.000 0.500 0.750
V1 0.000 0.000 0.500
V2 0.000 0.500 0.250
O1 0.000 0.206 0.670
O2 0.000 0.315 0.064
# - crystal system = tetragonal

# DyAl2WO8 | Alexandria | GGA+U | relaxed
data_DyAl2WO8
_cell_length_a 6.475
_cell_length_b 6.538
_cell_length_c 6.350
_cell_angle_alpha 90.00
_cell_angle_beta 90.00
_cell_angle_gamma 90.00
_symmetry_space_group_name_H-M 'C m m m'
_symmetry_Int_Tables_number 65
_symmetry_space_group_name_Hall '-C 2 2'
loop_
_atom_site_label
_atom_site_fract_x
_atom_site_fract_y
_atom_site_fract_z
Dy1 0.000 0.000 0.000
Al1 0.000 0.500 0.262
W1 0.000 0.000 0.500
O1 0.000 0.303 0.500
O2 0.000 0.335 0.000
O3 0.208 0.000 0.282
# - crystal system = orthorhombic

Number 1: total energy -181.4 eV for the cell shown, M_tot 0.0 μB/f.u., V 292 Å³ per cell. Number 2: total energy -178.7 eV for the cell shown, M_tot 0.5 μB/f.u., V 269 Å³ per cell.